First-principles (GGA-PBE) data for MoHIr2 after structural relaxation, as listed in Alexandria via LeMat-Bulk.

The structure in extended XYZ format:
```
4
Lattice="0.000 2.983 2.983 2.983 0.000 2.983 2.983 2.983 0.000" Properties=species:S:1:pos:R:3 pbc="T T T"
Mo 0.000 0.000 0.000
H 2.983 2.983 2.983
Ir 1.491 1.491 1.491
Ir 4.474 4.474 4.474
```

## Properties
Symmetry = No. 225
Offset from the most stable computed form = 0.388 eV per atom
Magnetic moment = 0.6 Bohr magnetons per cell